# 1
# PaSeS GGA-PBE optimized geometry
# - energy relative to the elements, uncorrected (meV/atom) = -1527
# - calculated volume (Å³/cell) = 281.3
# - N(E_F) (states/eV per atom) = 0.958
# - spin magnetization (μB/atom) = 0.15
# - energy (eV/atom) = -7.23
# - space group = Pnma (62)
# - energy relative to the lowest polymorph listed for this composition (meV/atom) = 0
data_PaSeS
_chemical_formula_sum 'Pa4 Se4 S4'
_cell_length_a 3.802
_cell_length_b 7.047
_cell_length_c 10.500
_cell_angle_alpha 90.00
_cell_angle_beta 90.00
_cell_angle_gamma 90.00
_symmetry_space_group_name_H-M 'P 1'
_symmetry_Int_Tables_number 1
loop_
_symmetry_equiv_pos_as_xyz
'x,y,z'
loop_
_atom_site_label
_atom_site_type_symbol
_atom_site_fract_x
_atom_site_fract_y
_atom_site_fract_z
Pa1 Pa 0.750 0.671 0.333
Pa2 Pa 0.250 0.829 0.833
Pa3 Pa 0.250 0.329 0.667
Pa4 Pa 0.750 0.171 0.167
Se1 Se 0.750 0.291 0.459
Se2 Se 0.250 0.209 0.959
Se3 Se 0.250 0.709 0.541
Se4 Se 0.750 0.791 0.041
S1 S 0.750 0.047 0.720
S2 S 0.250 0.453 0.220
S3 S 0.250 0.953 0.280
S4 S 0.750 0.547 0.780



# 2
# Pa5SeS4 GGA-PBE optimized geometry
# - energy relative to the elements, uncorrected (meV/atom) = -1520
# - calculated volume (Å³/cell) = 214.1
# - N(E_F) (states/eV per atom) = 1.824
# - spin magnetization (μB/atom) = 0.00
# - energy (eV/atom) = -8.27
# - space group = C2/m (12)
data_Pa5SeS4
_chemical_formula_sum 'Pa5 Se1 S4'
_cell_length_a 3.729
_cell_length_b 7.030
_cell_length_c 8.806
_cell_angle_alpha 77.16
_cell_angle_beta 77.78
_cell_angle_gamma 74.62
_symmetry_space_group_name_H-M 'P 1'
_symmetry_Int_Tables_number 1
loop_
_symmetry_equiv_pos_as_xyz
'x,y,z'
loop_
_atom_site_label
_atom_site_type_symbol
_atom_site_fract_x
_atom_site_fract_y
_atom_site_fract_z
Pa1 Pa 0.204 0.903 0.689
Pa2 Pa 0.796 0.097 0.311
Pa3 Pa 0.391 0.322 0.896
Pa4 Pa 0.000 0.500 0.500
Pa5 Pa 0.609 0.678 0.104
Se1 Se 0.000 0.000 0.000
S1 S 0.595 0.205 0.605
S2 S 0.204 0.387 0.206
S3 S 0.796 0.613 0.794
S4 S 0.405 0.795 0.395



# 3
# PaSeS2 GGA-PBE optimized geometry
# - energy relative to the elements, uncorrected (meV/atom) = -1133
# - calculated volume (Å³/cell) = 97.3
# - N(E_F) (states/eV per atom) = 0.538
# - spin magnetization (μB/atom) = 0.00
# - energy (eV/atom) = -6.44
# - space group = C2/m (12)
data_PaSeS2
_chemical_formula_sum 'Pa1 Se1 S2'
_cell_length_a 4.536
_cell_length_b 4.417
_cell_length_c 6.517
_cell_angle_alpha 70.18
_cell_angle_beta 120.76
_cell_angle_gamma 119.13
_symmetry_space_group_name_H-M 'P 1'
_symmetry_Int_Tables_number 1
loop_
_symmetry_equiv_pos_as_xyz
'x,y,z'
loop_
_atom_site_label
_atom_site_type_symbol
_atom_site_fract_x
_atom_site_fract_y
_atom_site_fract_z
Pa1 Pa 0.584 0.925 0.552
Se1 Se 0.084 0.925 0.052
S1 S 0.795 0.618 0.378
S2 S 0.373 0.232 0.727



# 4
# Pa4Se5S4 GGA-PBE optimized geometry
# - energy relative to the elements, uncorrected (meV/atom) = -1384
# - calculated volume (Å³/cell) = 290.4
# - N(E_F) (states/eV per atom) = 0.890
# - spin magnetization (μB/atom) = 0.16
# - energy (eV/atom) = -6.92
# - space group = I4/m (87)
data_Pa4Se5S4
_chemical_formula_sum 'Pa4 Se5 S4'
_cell_length_a 4.119
_cell_length_b 8.646
_cell_length_c 8.646
_cell_angle_alpha 86.75
_cell_angle_beta 76.22
_cell_angle_gamma 76.22
_symmetry_space_group_name_H-M 'P 1'
_symmetry_Int_Tables_number 1
loop_
_symmetry_equiv_pos_as_xyz
'x,y,z'
loop_
_atom_site_label
_atom_site_type_symbol
_atom_site_fract_x
_atom_site_fract_y
_atom_site_fract_z
Pa1 Pa 0.754 0.299 0.193
Pa2 Pa 0.246 0.701 0.807
Pa3 Pa 0.947 0.807 0.299
Pa4 Pa 0.053 0.193 0.701
Se1 Se 0.700 0.931 0.669
Se2 Se 0.300 0.069 0.331
Se3 Se 0.000 0.000 0.000
Se4 Se 0.631 0.669 0.069
Se5 Se 0.369 0.331 0.931
S1 S 0.885 0.527 0.703
S2 S 0.588 0.297 0.527
S3 S 0.115 0.473 0.297
S4 S 0.412 0.703 0.473



# 5
# Pa4Se2S5 GGA-PBE optimized geometry
# - energy relative to the elements, uncorrected (meV/atom) = -1432
# - calculated volume (Å³/cell) = 275.2
# - N(E_F) (states/eV per atom) = 1.297
# - spin magnetization (μB/atom) = 0.46
# - energy (eV/atom) = -7.39
# - space group = C2/m (12)
# - energy relative to the lowest polymorph listed for this composition (meV/atom) = 0
data_Pa4Se2S5
_chemical_formula_sum 'Pa4 Se2 S5'
_cell_length_a 3.845
_cell_length_b 7.080
_cell_length_c 10.764
_cell_angle_alpha 107.09
_cell_angle_beta 100.29
_cell_angle_gamma 90.00
_symmetry_space_group_name_H-M 'P 1'
_symmetry_Int_Tables_number 1
loop_
_symmetry_equiv_pos_as_xyz
'x,y,z'
loop_
_atom_site_label
_atom_site_type_symbol
_atom_site_fract_x
_atom_site_fract_y
_atom_site_fract_z
Pa1 Pa 0.285 0.280 0.569
Pa2 Pa 0.031 0.296 0.062
Pa3 Pa 0.715 0.720 0.431
Pa4 Pa 0.969 0.704 0.938
Se1 Se 0.429 0.374 0.858
Se2 Se 0.571 0.626 0.142
S1 S 0.818 0.057 0.636
S2 S 0.182 0.943 0.364
S3 S 0.828 0.585 0.656
S4 S 0.500 0.000 0.000
S5 S 0.172 0.415 0.344



# 6
# Pa2Se3S GGA-PBE optimized geometry
# - energy relative to the elements, uncorrected (meV/atom) = -1441
# - calculated volume (Å³/cell) = 341.4
# - N(E_F) (states/eV per atom) = 1.559
# - spin magnetization (μB/atom) = 0.34
# - energy (eV/atom) = -7.04
# - space group = C2/m (12)
# - energy relative to the lowest polymorph listed for this composition (meV/atom) = 0
data_Pa2Se3S
_chemical_formula_sum 'Pa4 Se6 S2'
_cell_length_a 4.306
_cell_length_b 8.359
_cell_length_c 11.039
_cell_angle_alpha 116.23
_cell_angle_beta 90.00
_cell_angle_gamma 104.93
_symmetry_space_group_name_H-M 'P 1'
_symmetry_Int_Tables_number 1
loop_
_symmetry_equiv_pos_as_xyz
'x,y,z'
loop_
_atom_site_label
_atom_site_type_symbol
_atom_site_fract_x
_atom_site_fract_y
_atom_site_fract_z
Pa1 Pa 0.145 0.289 0.823
Pa2 Pa 0.855 0.711 0.177
Pa3 Pa 0.385 0.771 0.562
Pa4 Pa 0.615 0.229 0.438
Se1 Se 0.949 0.898 0.756
Se2 Se 0.051 0.102 0.244
Se3 Se 0.341 0.682 0.994
Se4 Se 0.659 0.318 0.006
Se5 Se 0.228 0.456 0.623
Se6 Se 0.772 0.544 0.377
S1 S 0.576 0.152 0.656
S2 S 0.424 0.848 0.344



Which of these has the highest energy relative to the elements, uncorrected? PaSeS2